# 1
Compound: TlTcMo
Source: Alexandria
Functional: PBE
Structure: optimized geometry

Lattice parameters (Å, degrees): 2.9910 2.9910 6.9483 90.00 90.00 120.00
Space group P3m1 (No. 156)
Asymmetric unit:
Tl 0.0000 0.0000 0.0000 [1 per cell]
Tc 0.3333 0.6667 0.6442 [1 per cell]
Mo 0.6667 0.3333 0.3642 [1 per cell]

Values from the calculation:
E = -22.0 eV per cell
Calculated formation energy = 512 meV per atom
Energy relative to the lowest polymorph listed for this composition = 0.216 eV/atom



# 2
Compound: Ti3HgMo
Source: Alexandria
Functional: PBE
Structure: optimized geometry

Lattice parameters (Å, degrees): 5.492 4.539 7.207 90.00 105.16 90.00
Space group P2_1/m (No. 11)
Asymmetric unit:
Ti 0.149 0.250 0.030 [2 per cell]
Ti 0.218 0.750 0.732 [2 per cell]
Ti 0.322 0.250 0.442 [2 per cell]
Hg 0.440 0.750 0.165 [2 per cell]
Mo 0.045 0.750 0.354 [2 per cell]

Values from the calculation:
E = -70.2 eV per cell
Calculated formation energy = -59 meV per atom
Energy relative to the lowest polymorph listed for this composition = 0.000 eV/atom



# 3
Compound: KTiZnSe2
Source: Alexandria
Functional: PBE
Structure: optimized geometry

Lattice parameters (Å, degrees): 5.639 5.639 5.152 90.00 90.00 90.00
Space group P4/mmm (No. 123)
Asymmetric unit:
K 0.000 0.000 0.000 [1 per cell]
Ti 0.500 0.500 0.500 [1 per cell]
Zn 0.000 0.000 0.500 [1 per cell]
Se 0.000 0.500 0.000 [2 per cell]

Values from the calculation:
E = -12.6 eV per cell
Formation energy without anion corrections = 0.924 eV/atom



Repeat the second record exactly.
Compound: Ti3HgMo
Source: Alexandria
Functional: PBE
Structure: optimized geometry

Lattice parameters (Å, degrees): 5.492 4.539 7.207 90.00 105.16 90.00
Space group P2_1/m (No. 11)
Asymmetric unit:
Ti 0.149 0.250 0.030 [2 per cell]
Ti 0.218 0.750 0.732 [2 per cell]
Ti 0.322 0.250 0.442 [2 per cell]
Hg 0.440 0.750 0.165 [2 per cell]
Mo 0.045 0.750 0.354 [2 per cell]

Values from the calculation:
E = -70.2 eV per cell
Calculated formation energy = -59 meV per atom
Energy relative to the lowest polymorph listed for this composition = 0.000 eV/atom



Question: Among the records above, which one has the highest E?
Answer: KTiZnSe2



Question: The lowest E belongs to which entry?
Answer: Ti3HgMo